Record 1
A geometry-optimized Ca2TbS3 structure, computed with PBE-GGA.

Cell and atoms, written as POSCAR:
```
Ca2TbS3
1.0
3.978 0.000 0.000
0.000 5.640 0.000
-1.989 -2.820 6.000
Tb Ca S
1 2 3
Cartesian
0.994 1.410 3.000
-0.994 -1.410 5.016
2.983 4.230 0.983
0.994 -1.410 3.000
-0.994 1.410 4.960
2.983 1.410 1.040
```

- DFT total energy: -5.58 eV per atom
- Size of the total moment: 0.0 μB per cell
- ΔE_f (raw): -200.9 kJ per mole of atoms
- Polymorph energy (0 for the lowest one): 5 meV per atom

=====

Record 2
A geometry-optimized CaTb3S6 structure, computed with PBE-GGA.

Cell and atoms, written as POSCAR:
```
CaTb3S6
1.0
6.709 0.000 -0.102
0.000 7.264 0.000
-0.073 0.000 9.966
Tb S Ca
6 12 2
Cartesian
3.597 6.564 7.367
3.039 0.700 2.498
0.279 4.332 2.434
-0.037 0.000 4.983
6.356 2.932 7.431
3.354 3.632 -0.051
1.160 2.251 4.027
2.158 5.883 0.906
5.475 5.013 5.838
2.113 4.223 7.485
2.104 5.929 4.121
1.213 2.296 0.811
4.522 3.042 2.380
1.131 0.591 7.414
5.422 4.968 9.053
4.478 1.381 8.959
5.504 6.674 2.451
4.531 1.336 5.744
0.000 0.000 0.000
3.318 3.632 4.932
```

- DFT total energy: -5.89 eV per atom
- Size of the total moment: 0.0 μB per cell
- ΔE_f (raw): -175.6 kJ per mole of atoms

=====

Record 3
A geometry-optimized CaTb5S8 structure, computed with PBE-GGA.

Cell and atoms, written as POSCAR:
```
CaTb5S8
1.0
7.248 0.016 -0.028
-2.437 6.826 0.028
-2.374 -3.443 5.920
Tb S Ca
5 8 1
Cartesian
2.440 2.124 3.718
0.019 -2.580 5.900
3.610 5.141 1.461
2.437 -1.714 2.946
-1.195 2.113 0.761
5.105 -1.784 4.299
0.278 3.111 5.182
-2.170 3.373 3.053
0.460 0.411 2.216
-0.969 5.059 0.143
1.534 -0.344 5.194
4.032 0.431 2.170
1.479 3.338 1.422
-1.187 0.835 4.447
```

- DFT total energy: -6.20 eV per atom
- Size of the total moment: 0.0 μB per cell
- ΔE_f (raw): -196.9 kJ per mole of atoms

=====

Record 4
A geometry-optimized Ca3Tb4S8 structure, computed with PBE-GGA.

Cell and atoms, written as POSCAR:
```
Ca3Tb4S8
1.0
-0.511 1.282 -7.793
6.780 -2.676 3.110
-3.915 -6.074 3.253
S Tb Ca
8 4 3
Cartesian
-1.513 -4.589 -0.679
0.195 -0.875 -6.196
1.915 -5.993 0.842
-1.280 -5.237 3.218
2.159 -6.594 4.766
0.439 -1.476 -2.272
4.145 -3.513 3.145
3.867 -2.880 -0.751
-1.957 -3.037 1.626
-0.256 0.641 -3.897
3.390 -1.338 1.555
0.000 0.000 0.000
1.177 -3.734 -0.715
-2.213 -2.396 -2.270
3.134 -0.697 -2.342
```

- DFT total energy: -5.92 eV per atom
- Size of the total moment: 0.0 μB per cell
- ΔE_f (raw): -201.4 kJ per mole of atoms

=====

Record 5
A geometry-optimized CaTb2S4 structure, computed with PBE-GGA.

Cell and atoms, written as POSCAR:
```
CaTb2S4
1.0
3.954 0.000 0.000
0.000 12.036 0.000
0.000 0.000 14.179
S Tb Ca
16 8 4
Cartesian
0.988 0.449 4.014
0.988 2.447 11.570
2.965 1.094 1.105
0.988 7.602 13.668
0.988 4.924 8.195
2.965 9.589 2.610
2.965 10.452 6.578
0.988 10.942 13.074
2.965 11.587 10.166
2.965 4.434 0.511
0.988 1.584 7.601
2.965 5.569 11.103
2.965 7.112 5.984
0.988 6.467 3.076
2.965 3.571 4.480
0.988 8.465 9.699
0.988 4.955 12.791
2.965 6.792 8.699
2.965 1.063 5.701
0.988 5.244 5.480
0.988 11.262 1.609
0.988 10.973 8.478
2.965 0.774 12.570
2.965 7.081 1.388
2.965 9.002 11.866
0.988 9.052 4.776
0.988 3.034 2.314
2.965 2.984 9.403
```

- DFT total energy: -6.04 eV per atom
- Size of the total moment: 0.0 μB per cell
- ΔE_f (raw): -200.3 kJ per mole of atoms
- Polymorph energy (0 for the lowest one): 7 meV per atom

=====

Record 6
A geometry-optimized CaTbS structure, computed with PBE-GGA.

Cell and atoms, written as POSCAR:
```
CaTbS
1.0
-2.216 6.145 -1.709
-4.170 5.114 1.433
4.184 3.739 3.828
Ca S Tb
2 2 2
Cartesian
-4.722 8.621 -0.107
-5.187 12.268 0.801
-2.327 8.626 1.384
2.988 4.742 3.414
0.021 8.485 2.797
0.640 4.884 2.001
```

- DFT total energy: -4.83 eV per atom
- Size of the total moment: 0.0 μB per cell
- ΔE_f (raw): -119.8 kJ per mole of atoms

=====

> Look up the DFT total energy of the sixth one.

-4.83 eV per atom